CoBr2Cl after structural relaxation. Source: Alexandria, functional PBE.

## Properties
- Volume: 26.8 Å³ per atom
- M_tot: 0.000 Bohr magnetons per cell
- Relative energy among the computed polymorphs: 437 meV per atom
- Mass density: 3.94 Mg/m³
- E_tot: -0.218 Ry/atom
- Formation energy from raw total energies: 111 meV/atom

```
data_CoBr2Cl
_chemical_formula_sum 'Co4 Br8 Cl4'
_cell_length_a 6.768
_cell_length_b 6.768
_cell_length_c 9.365
_cell_angle_alpha 90.00
_cell_angle_beta 90.00
_cell_angle_gamma 90.00
_symmetry_space_group_name_H-M 'I -4 2 d'
_symmetry_Int_Tables_number 122
_symmetry_space_group_name_Hall 'I -4 2bw'
loop_
_atom_site_label
_atom_site_type_symbol
_atom_site_fract_x
_atom_site_fract_y
_atom_site_fract_z
Co1 Co 0.000 0.000 0.000
Br1 Br 0.143 0.250 0.125
Cl1 Cl 0.000 0.000 0.500
```

=====

Tb3B2PtRh9 after structural relaxation. Source: Alexandria, functional PBE.

## Properties
- Volume: 16.9 Å³ per atom
- M_tot: 0.000 Bohr magnetons per cell
- Energy relative to the elements: -0.509 eV/atom
- Mass density: 10.63 Mg/m³
- E_tot: -0.525 Ry/atom

```
data_Tb3B2PtRh9
_chemical_formula_sum 'Tb3 B2 Pt1 Rh9'
_cell_length_a 5.7425
_cell_length_b 5.7425
_cell_length_c 8.8612
_cell_angle_alpha 90.00
_cell_angle_beta 90.00
_cell_angle_gamma 120.00
_symmetry_space_group_name_H-M 'P -3 m 1'
_symmetry_Int_Tables_number 164
_symmetry_space_group_name_Hall '-P 3 2"'
loop_
_atom_site_label
_atom_site_type_symbol
_atom_site_fract_x
_atom_site_fract_y
_atom_site_fract_z
Tb1 Tb 0.0000 0.0000 0.0000
Tb2 Tb 0.3333 0.6667 0.6278
B1 B 0.3333 0.6667 0.1454
Pt1 Pt 0.0000 0.0000 0.5000
Rh1 Rh 0.0000 0.5000 0.0000
Rh2 Rh 0.1615 0.3230 0.2701
```

=====

Li7CdPt3 after structural relaxation. Source: Alexandria, functional PBE.

## Properties
- Volume: 16.5 Å³ per atom
- M_tot: 0.000 Bohr magnetons per cell
- Energy relative to the elements: -0.420 eV/atom
- Mass density: 6.85 Mg/m³
- E_tot: -0.248 Ry/atom

```
data_Li7CdPt3
_chemical_formula_sum 'Li28 Cd4 Pt12'
_cell_length_a 2.736
_cell_length_b 21.613
_cell_length_c 12.246
_cell_angle_alpha 90.00
_cell_angle_beta 90.00
_cell_angle_gamma 90.00
_symmetry_space_group_name_H-M 'C m c m'
_symmetry_Int_Tables_number 63
_symmetry_space_group_name_Hall '-C 2c 2'
loop_
_atom_site_label
_atom_site_type_symbol
_atom_site_fract_x
_atom_site_fract_y
_atom_site_fract_z
Li1 Li 0.000 0.065 0.128
Li2 Li 0.000 0.105 0.591
Li3 Li 0.000 0.191 0.250
Li4 Li 0.000 0.222 0.595
Cd1 Cd 0.000 0.470 0.250
Pt1 Pt 0.000 0.338 0.250
Pt2 Pt 0.000 0.339 0.566
```